DFT (GGA+U) results for NiPtPb2F after structural relaxation.

Results
- crystal system = tetragonal
- magnetic moment (μB/cell) = 0.000
- calculated total energy (eV for the cell shown) = -16.64

a = 5.045 Å, b = 5.045 Å, c = 4.602 Å
α = 90.00°, β = 90.00°, γ = 90.00°
Fractional coordinates of all 5 atoms:
Ni1 0.000 0.000 0.000
Pt1 0.000 0.000 0.500
Pb1 0.000 0.500 0.000
Pb2 0.500 0.000 0.000
F1 0.500 0.500 0.500